An optimized crystal structure of Ag3SnBr2Cl6, computed with PBE.

Computed properties:
Electronic total energy (eV for the cell shown): -33.79
M_tot (μB per formula unit): 0.00

POSCAR file:
```
Ag3SnBr2Cl6
1.0
-1.233 1.298 5.882
5.931 -4.453 2.227
1.359 7.493 -2.101
Ag Sn Br Cl
3 1 2 6
Direct
0.000 0.500 0.000
0.500 0.500 0.500
0.500 0.000 0.500
0.500 0.000 0.000
0.230 0.671 0.342
0.770 0.329 0.658
0.730 0.315 0.170
0.270 0.685 0.830
0.736 0.864 0.728
0.264 0.136 0.272
0.270 0.145 0.830
0.730 0.855 0.170
```

=====

An optimized crystal structure of Sr3AgBr6Cl2, computed with PBE.

Computed properties:
Electronic total energy (eV for the cell shown): -41.72
M_tot (μB per formula unit): 0.68

POSCAR file:
```
Sr3AgBr6Cl2
1.0
-4.559 3.842 2.967
-5.002 -0.299 -7.298
-0.469 -6.085 5.940
Sr Ag Br Cl
3 1 6 2
Direct
0.000 0.500 0.000
0.500 0.500 0.500
0.500 0.000 0.500
0.500 0.000 0.000
0.758 0.330 0.174
0.242 0.670 0.826
0.731 0.863 0.727
0.269 0.137 0.273
0.242 0.156 0.826
0.758 0.844 0.174
0.268 0.668 0.336
0.732 0.332 0.664
```

=====

An optimized crystal structure of TaAgBrCl6, computed with PBE.

Computed properties:
Electronic total energy (eV for the cell shown): -35.26
M_tot (μB per formula unit): 0.00

POSCAR file:
```
TaAgBrCl6
1.0
6.708 0.308 -0.652
3.622 6.275 -1.305
-0.667 -1.160 7.706
Ta Ag Br Cl
1 1 1 6
Direct
0.351 0.325 0.500
0.636 0.682 0.500
0.077 0.961 0.000
0.019 0.318 0.313
0.338 0.113 0.667
0.610 0.396 0.708
0.019 0.663 0.687
0.339 0.549 0.333
0.610 0.994 0.292
```

=====

Results for calculated density: 4.15; 3.58; 3.16 (in g/cm3, following the order of the records).